Computed, not measured: Mn2BiCl2O2 after structural relaxation at the PBE+U level of DFT.

```
7
Lattice="-2.455 -2.384 0.433 -1.151 -2.510 -6.609 2.856 -6.037 -3.298" Properties=species:S:1:pos:R:3 pbc="T T T"
Mn -0.357 -2.593 -2.561
Mn -0.392 -8.338 -6.913
Bi 0.000 0.000 0.000
Cl -0.272 -5.236 -2.888
Cl -0.478 -5.695 -6.587
O 1.556 -7.987 -7.673
O -2.306 -2.943 -1.802
```

* symmetry: C2/m (12)
* VASP energy: -5.83 eV/atom
* size of the total moment: 9.8 μB per formula unit
* ρ: 5.1 g/cm³